{"formula": "CaLa2Co2Sb2Pb2O12", "functional": "GGA+U", "state": "optimized geometry", "de_polymorph_kcal_per_mol_atoms": 1.29, "vol_a3_per_cell": 341.6, "magnetic_moment_mub_per_atom": 0.094, "cell": [[6.5842, -0.0578, -0.0206], [2.2533, 6.1145, -0.0104], [2.3203, 1.4665, 8.4499]], "species": ["Sb", "Sb", "Pb", "Pb", "O", "O", "O", "O", "O", "O", "O", "O", "O", "O", "O", "O", "Co", "Co", "La", "La", "Ca"], "frac_coords": [[0.5947, 0.0618, 0.5320], [0.9694, 0.4629, 0.9953], [0.5043, 0.5678, 0.3033], [0.0660, 0.1101, 0.7630], [0.5134, 0.9063, 0.7530], [0.1537, 0.6749, 0.9358], [0.2857, 0.9091, 0.1840], [0.2312, 0.3064, 0.5319], [0.7212, 0.2598, 0.5919], [0.8943, 0.5077, 0.7788], [0.3496, 0.7261, 0.5425], [0.7007, 0.7301, 0.0516], [0.9911, 0.4453, 0.2199], [0.9173, 0.8602, 0.4487], [0.2610, 0.2476, 0.9049], [0.8169, 0.2277, 0.0561], [0.4530, 0.9594, 0.9742], [0.0899, 0.6085, 0.5812], [0.5043, 0.5309, 0.7661], [0.9536, 0.8533, 0.1682], [0.1239, 0.1275, 0.3843]]}